Compound: LaEuTe2
Source: the Alexandria database
Functional: PBE
Structure: relaxed

Cell and atoms, written as CIF:
```
data_LaEuTe2
_symmetry_space_group_name_H-M 'F m -3 m'
_symmetry_Int_Tables_number 225
_symmetry_space_group_name_Hall '-F 4 2 3'
_cell_length_a 7.909
_cell_length_b 7.909
_cell_length_c 7.909
_cell_angle_alpha 90.00
_cell_angle_beta 90.00
_cell_angle_gamma 90.00
loop_
_atom_site_label
_atom_site_type_symbol
_atom_site_fract_x
_atom_site_fract_y
_atom_site_fract_z
_atom_site_occupancy
La1 La 0.000 0.000 0.000 1
Eu1 Eu 0.000 0.000 0.500 1
Te1 Te 0.250 0.250 0.250 1
```

Crystal system = cubic
Energy relative to the lowest polymorph listed for this composition = 185 meV per atom
Electronic total energy = -6.816 eV/atom
Formation energy (no corrections) = -1.45 eV/atom

Compound: LaEuTe2
Source: the Alexandria database
Functional: PBE
Structure: relaxed

Cell and atoms, written as CIF:
```
data_LaEuTe2
_symmetry_space_group_name_H-M 'P 4/m m m'
_symmetry_Int_Tables_number 123
_symmetry_space_group_name_Hall '-P 4 2'
_cell_length_a 5.597
_cell_length_b 5.597
_cell_length_c 3.956
_cell_angle_alpha 90.00
_cell_angle_beta 90.00
_cell_angle_gamma 90.00
loop_
_atom_site_label
_atom_site_type_symbol
_atom_site_fract_x
_atom_site_fract_y
_atom_site_fract_z
_atom_site_occupancy
La1 La 0.000 0.000 0.000 1
Eu1 Eu 0.500 0.500 0.000 1
Te1 Te 0.000 0.500 0.500 1
```

Crystal system = tetragonal
Energy relative to the lowest polymorph listed for this composition = 177 meV per atom
Electronic total energy = -6.824 eV/atom
Formation energy (no corrections) = -1.45 eV/atom

Compound: LaEuTe2
Source: the Alexandria database
Functional: PBE
Structure: relaxed

Cell and atoms, written as CIF:
```
data_LaEuTe2
_symmetry_space_group_name_H-M 'R -3 m'
_symmetry_Int_Tables_number 166
_symmetry_space_group_name_Hall '-R 3 2"'
_cell_length_a 4.5778
_cell_length_b 4.5778
_cell_length_c 22.6672
_cell_angle_alpha 90.00
_cell_angle_beta 90.00
_cell_angle_gamma 120.00
loop_
_atom_site_label
_atom_site_type_symbol
_atom_site_fract_x
_atom_site_fract_y
_atom_site_fract_z
_atom_site_occupancy
La1 La 0.0000 0.0000 0.0000 1
Eu1 Eu 0.0000 0.0000 0.5000 1
Te1 Te 0.0000 0.0000 0.2495 1
```

Crystal system = trigonal
Energy relative to the lowest polymorph listed for this composition = 0 meV per atom
Electronic total energy = -7.001 eV/atom
Formation energy (no corrections) = -1.63 eV/atom

Compound: LaEuTe
Source: the Alexandria database
Functional: PBE
Structure: relaxed

Cell and atoms, written as CIF:
```
data_LaEuTe
_symmetry_space_group_name_H-M 'P 3 m 1'
_symmetry_Int_Tables_number 156
_cell_length_a 4.2832
_cell_length_b 4.2832
_cell_length_c 7.3179
_cell_angle_alpha 90.00
_cell_angle_beta 90.00
_cell_angle_gamma 120.00
loop_
_symmetry_equiv_pos_as_xyz
'x,y,z'
'-y,x-y,z'
'-x+y,-x,z'
'-y,-x,z'
'-x+y,y,z'
'x,x-y,z'
loop_
_atom_site_label
_atom_site_type_symbol
_atom_site_fract_x
_atom_site_fract_y
_atom_site_fract_z
_atom_site_occupancy
La1 La 0.0000 0.0000 0.0000 1
Eu1 Eu 0.3333 0.6667 0.4365 1
Te1 Te 0.6667 0.3333 0.7219 1
```

Crystal system = trigonal
Energy relative to the lowest polymorph listed for this composition = 0 meV per atom
Electronic total energy = -7.021 eV/atom
Formation energy (no corrections) = -0.91 eV/atom